1 | A geometry-optimized NiIrIO2 structure. Source: Alexandria via LeMat-Bulk, functional PBE+U.

Lattice parameters (Å, degrees): 3.6856 3.6856 7.1098 90.00 90.00 90.00
Fractional positions:
Ni1 0.0000 0.0000 0.0000
Ir1 0.5000 0.5000 0.5000
I1 0.0000 0.0000 0.5000
O1 0.0000 0.5000 0.0000
O2 0.5000 0.0000 0.0000

Calculated values
Space group: No. 123
Theoretical density, Mg/m³: 7.05

---

2 | A geometry-optimized NiIrIO2 structure. Source: Alexandria via LeMat-Bulk, functional PBE+U.

Lattice parameters (Å, degrees): 3.7132 3.7132 8.3288 90.00 90.00 90.00
Fractional positions:
Ni1 0.0000 0.0000 0.0000
Ir1 0.5000 0.5000 0.5000
I1 0.5000 0.5000 0.0000
O1 0.0000 0.5000 0.5000
O2 0.5000 0.0000 0.5000

Calculated values
Space group: No. 123
Theoretical density, Mg/m³: 5.93

---

What is the most stable structure shown above? It is 2.